# Re3PIr, optimized geometry, DFT PBE-GGA
data_Re3PIr
_chemical_formula_sum 'Re3 P1 Ir1'
_symmetry_space_group_name_H-M 'P 1'
_symmetry_Int_Tables_number 1
_cell_length_a 4.7192
_cell_length_b 4.7192
_cell_length_c 4.7192
_cell_angle_alpha 90.00
_cell_angle_beta 90.00
_cell_angle_gamma 90.00
loop_
_symmetry_equiv_pos_as_xyz
'x,y,z'
loop_
_atom_site_label
_atom_site_type_symbol
_atom_site_fract_x
_atom_site_fract_y
_atom_site_fract_z
_atom_site_occupancy
Re1 Re 0.0000 0.5000 0.0000 1
Re2 Re 0.0000 0.0000 0.5000 1
Re3 Re 0.5000 0.0000 0.0000 1
Ir1 Ir 0.0000 0.0000 0.0000 1
P1 P 0.5000 0.5000 0.5000 1
# Magnetic moment: 0.94 μB per formula unit
# Total energy: -7.8479 eV per atom
# Energy of formation from the pure elements: 12.38 eV per formula unit
# DOS(E_F): 7.03 states/eV per cell